No. 1
Entry from the Alexandria database: a relaxed ThNpSb crystal (PBE).

The structure in POSCAR format:
```
ThNpSb
1.0
14.296 0.000 0.000
0.000 3.870 0.000
0.000 0.000 8.776
Th Np Sb
6 6 6
Direct
0.120 0.000 0.075
0.250 0.000 0.685
0.380 0.000 0.075
0.620 0.000 0.925
0.750 0.000 0.315
0.880 0.000 0.925
0.079 0.000 0.441
0.250 0.500 0.942
0.421 0.000 0.441
0.579 0.000 0.559
0.750 0.500 0.058
0.921 0.000 0.559
0.058 0.500 0.754
0.250 0.500 0.319
0.442 0.500 0.754
0.558 0.500 0.246
0.750 0.500 0.681
0.942 0.500 0.246
```

Values from the calculation:
- D(E_F) (states/eV/f.u.) = 6.87
- SG = Pmma, No. 51
- energy (eV per atom) = -8.21
- formation energy without anion corrections (eV per atom) = -0.054

=====

No. 2
Entry from the Alexandria database: a relaxed Ca4MnTc crystal (PBE).

The structure in POSCAR format:
```
Ca4MnTc
1.0
0.000 4.453 4.453
4.453 0.000 4.453
4.453 4.453 0.000
Ca Mn Tc
4 1 1
Direct
0.376 0.376 0.376
0.376 0.376 0.873
0.376 0.873 0.376
0.873 0.376 0.376
0.000 0.000 0.000
0.750 0.750 0.750
```

Values from the calculation:
- D(E_F) (states/eV/f.u.) = 11.78
- SG = F-43m, No. 216
- energy (eV per atom) = -3.42

=====

No. 3
Entry from the Alexandria database: a relaxed Tm3Sc4Pb4 crystal (PBE).

The structure in POSCAR format:
```
Tm3Sc4Pb4
1.0
-2.090 4.509 7.934
2.090 -4.509 7.934
2.090 4.509 -7.934
Tm Sc Pb
3 4 4
Direct
0.000 0.000 0.000
0.385 0.885 0.500
0.615 0.115 0.500
0.026 0.325 0.701
0.376 0.675 0.701
0.624 0.325 0.299
0.974 0.675 0.299
0.235 0.235 0.000
0.290 0.500 0.790
0.710 0.500 0.210
0.765 0.765 0.000
```

Values from the calculation:
- D(E_F) (states/eV/f.u.) = 13.67
- SG = Immm, No. 71
- energy (eV per atom) = -5.19

=====

No. 4
Entry from the Alexandria database: a relaxed Nd5Zn4Hg crystal (PBE).

The structure in POSCAR format:
```
Nd5Zn4Hg
1.0
3.705 0.000 0.000
0.000 3.705 0.000
0.000 0.000 18.695
Nd Zn Hg
5 4 1
Direct
0.000 0.000 0.000
0.000 0.000 0.197
0.000 0.000 0.389
0.000 0.000 0.611
0.000 0.000 0.803
0.500 0.500 0.098
0.500 0.500 0.293
0.500 0.500 0.707
0.500 0.500 0.902
0.500 0.500 0.500
```

Values from the calculation:
- D(E_F) (states/eV/f.u.) = 11.90
- SG = P4/mmm, No. 123
- energy (eV per atom) = -3.26

=====

No. 5
Entry from the Alexandria database: a relaxed Zn6CdCu12 crystal (PBE).

The structure in POSCAR format:
```
Zn6CdCu12
1.0
5.465 3.155 2.671
-5.465 3.155 2.671
0.000 -6.310 2.671
Zn Cd Cu
6 1 12
Direct
0.298 0.298 0.700
0.298 0.700 0.298
0.300 0.702 0.702
0.700 0.298 0.298
0.702 0.300 0.702
0.702 0.702 0.300
0.000 0.000 0.000
0.112 0.500 0.888
0.112 0.888 0.500
0.113 0.356 0.356
0.356 0.113 0.356
0.356 0.356 0.113
0.500 0.112 0.888
0.500 0.888 0.112
0.644 0.644 0.887
0.644 0.887 0.644
0.887 0.644 0.644
0.888 0.112 0.500
0.888 0.500 0.112
```

Values from the calculation:
- D(E_F) (states/eV/f.u.) = 7.46
- SG = R-3m, No. 166
- energy (eV per atom) = -2.89

=====

No. 6
Entry from the Alexandria database: a relaxed Rb2NiBr4 crystal (PBE).

The structure in POSCAR format:
```
Rb2NiBr4
1.0
-2.607 2.607 8.338
2.607 -2.607 8.338
2.607 2.607 -8.338
Rb Ni Br
2 1 4
Direct
0.139 0.139 0.000
0.861 0.861 0.000
0.500 0.500 0.000
0.000 0.500 0.500
0.352 0.352 0.000
0.500 0.000 0.500
0.648 0.648 0.000
```

Values from the calculation:
- D(E_F) (states/eV/f.u.) = 0.43
- SG = I4/mmm, No. 139
- energy (eV per atom) = -3.16
- formation energy without anion corrections (eV per atom) = -1.106